(1)
This record from Alexandria via LeMat-Bulk describes a relaxed structure of MgSc4Rh5. The functional is PBE.

Values from the calculation:
Symmetry   P4/mmm (123)

Lattice parameters (Å, degrees): 3.213 3.213 15.948 90.00 90.00 90.00
Element x y z (fractional)
1 Rh 0.500 0.500 0.702
2 Sc 0.000 0.000 0.602
3 Mg 0.000 0.000 0.000
4 Rh 0.500 0.500 0.098
5 Rh 0.500 0.500 0.902
6 Sc 0.000 0.000 0.807
7 Sc 0.000 0.000 0.398
8 Rh 0.500 0.500 0.298
9 Rh 0.500 0.500 0.500
10 Sc 0.000 0.000 0.193


(2)
This record from Alexandria via LeMat-Bulk describes a relaxed structure of FeRu2Se. The functional is PBE.

Values from the calculation:
Symmetry   Imm2 (44)
Uncorrected formation energy   0.29 eV/atom

Lattice parameters (Å, degrees): 5.120 5.120 5.120 146.45 130.30 61.30
Each line ends with the local moment (μB).
Element x y z (fractional)
1 Se 0.500 0.500 0.000  -0.01
2 Ru 0.001 0.001 0.000  0.05
3 Ru 0.727 0.227 0.500  0.14
4 Fe 0.272 0.772 0.500  2.50


(3)
This record from Alexandria via LeMat-Bulk describes a relaxed structure of Li4TbTl4. The functional is PBE.

Values from the calculation:
Symmetry   P4_2/nmc (137)

Lattice parameters (Å, degrees): 6.444 6.444 9.833 90.00 90.00 90.00
Element x y z (fractional)
1 Li 0.716 0.000 0.571
2 Tl 0.500 0.237 0.784
3 Tl 0.263 0.000 0.284
4 Tl 0.737 0.000 0.284
5 Li 0.500 0.784 0.071
6 Li 0.500 0.216 0.071
7 Li 0.000 0.716 0.429
8 Tl 0.000 0.737 0.716
9 Li 0.784 0.500 0.929
10 Tl 0.000 0.263 0.716
11 Tb 0.500 0.500 0.500
12 Tl 0.237 0.500 0.216
13 Tl 0.500 0.763 0.784
14 Li 0.284 0.000 0.571
15 Li 0.216 0.500 0.929
16 Li 0.000 0.284 0.429
17 Tb 0.000 0.000 0.000
18 Tl 0.763 0.500 0.216


Number 1: size of the total moment 0.000 μB/f.u., total DFT energy (no corrections) -7.319 eV/atom. Number 2: size of the total moment 2.674 μB/f.u., total DFT energy (no corrections) -7.330 eV/atom. Number 3: size of the total moment 0.000 μB/f.u., total DFT energy (no corrections) -2.569 eV/atom.